# Mo2RhSe PBEsol relaxed
# E_tot: -35.1 eV per formula unit
# Raw formation energy: 114 meV/atom
# Magnetization: 0.000 μB/atom
# Crystal system: monoclinic
data_Mo2RhSe
_chemical_formula_sum 'Mo2 Rh1 Se1'
_space_group_name_H-M_alt 'P 1 2/m 1'
_space_group_IT_number 10
_cell_length_a 2.862
_cell_length_b 4.035
_cell_length_c 5.311
_cell_angle_alpha 90.00
_cell_angle_beta 104.11
_cell_angle_gamma 90.00
loop_
_space_group_symop_operation_xyz
'x,y,z'
'-x,-y,-z'
'-x,y,-z'
'x,-y,z'
loop_
_atom_site_label
_atom_site_fract_x
_atom_site_fract_y
_atom_site_fract_z
Mo1 0.074 0.000 0.253
Rh1 0.500 0.500 0.000
Se1 0.500 0.500 0.500

=====

# KCo2SnC PBEsol relaxed
# Formation enthalpy at 0 K: 2.378 eV/atom
# E_tot: -18.6 eV per formula unit
# Magnetization: 1.107 μB/atom
# Crystal system: tetragonal
data_KCo2SnC
_chemical_formula_sum 'K1 Co2 Sn1 C1'
_space_group_name_H-M_alt 'P 4/m m m'
_space_group_IT_number 123
_space_group_name_Hall '-P 4 2'
_cell_length_a 4.733
_cell_length_b 4.733
_cell_length_c 6.632
_cell_angle_alpha 90.00
_cell_angle_beta 90.00
_cell_angle_gamma 90.00
loop_
_atom_site_label
_atom_site_fract_x
_atom_site_fract_y
_atom_site_fract_z
K1 0.000 0.000 0.000
Co1 0.000 0.500 0.500
Sn1 0.000 0.000 0.500
C1 0.500 0.500 0.000

=====

# Zr2Cl3 PBEsol relaxed
# E_tot: -29.2 eV per formula unit
# Raw formation energy: -999 meV/atom
# Magnetization: 0.000 μB/atom
# Crystal system: trigonal
data_Zr2Cl3
_chemical_formula_sum 'Zr2 Cl3'
_space_group_name_H-M_alt 'P -3 m 1'
_space_group_IT_number 164
_space_group_name_Hall '-P 3 2"'
_cell_length_a 4.4661
_cell_length_b 4.4661
_cell_length_c 5.5392
_cell_angle_alpha 90.00
_cell_angle_beta 90.00
_cell_angle_gamma 120.00
loop_
_atom_site_label
_atom_site_fract_x
_atom_site_fract_y
_atom_site_fract_z
Zr1 0.3333 0.6667 0.3510
Cl1 0.0000 0.0000 0.5000
Cl2 0.3333 0.6667 0.8363

=====

# Co2WCl PBEsol relaxed
# Polymorph energy (0 for the lowest one): 0.4060 eV per atom
# E_tot: -27.9 eV per formula unit
# Raw formation energy: 857 meV/atom
# Magnetization: 0.002 μB/atom
# Crystal system: tetragonal
data_Co2WCl
_chemical_formula_sum 'Co2 W1 Cl1'
_space_group_name_H-M_alt 'P 4/m m m'
_space_group_IT_number 123
_space_group_name_Hall '-P 4 2'
_cell_length_a 4.411
_cell_length_b 4.411
_cell_length_c 2.666
_cell_angle_alpha 90.00
_cell_angle_beta 90.00
_cell_angle_gamma 90.00
loop_
_atom_site_label
_atom_site_fract_x
_atom_site_fract_y
_atom_site_fract_z
Co1 0.000 0.500 0.000
W1 0.000 0.000 0.500
Cl1 0.500 0.500 0.500

=====

# KYTa PBEsol relaxed
# Polymorph energy (0 for the lowest one): 0.0000 eV per atom
# Formation enthalpy at 0 K: 1.920 eV/atom
# E_tot: -14.7 eV per formula unit
# Magnetization: 1.610 μB/atom
# Crystal system: cubic
data_KYTa
_chemical_formula_sum 'K4 Y4 Ta4'
_space_group_name_H-M_alt 'F -4 3 m'
_space_group_IT_number 216
_space_group_name_Hall 'F -4 2 3'
_cell_length_a 7.578
_cell_length_b 7.578
_cell_length_c 7.578
_cell_angle_alpha 90.00
_cell_angle_beta 90.00
_cell_angle_gamma 90.00
loop_
_atom_site_label
_atom_site_fract_x
_atom_site_fract_y
_atom_site_fract_z
K1 0.000 0.000 0.000
Y1 0.000 0.000 0.500
Ta1 0.250 0.250 0.750

=====

# CaGeNF2 PBEsol relaxed
# E_tot: -24.8 eV per formula unit
# Raw formation energy: -1066 meV/atom
# Magnetization: 0.200 μB/atom
# Crystal system: tetragonal
data_CaGeNF2
_chemical_formula_sum 'Ca1 Ge1 N1 F2'
_space_group_name_H-M_alt 'P 4/m m m'
_space_group_IT_number 123
_space_group_name_Hall '-P 4 2'
_cell_length_a 4.128
_cell_length_b 4.128
_cell_length_c 4.783
_cell_angle_alpha 90.00
_cell_angle_beta 90.00
_cell_angle_gamma 90.00
loop_
_atom_site_label
_atom_site_fract_x
_atom_site_fract_y
_atom_site_fract_z
Ca1 0.000 0.000 0.000
Ge1 0.500 0.500 0.500
N1 0.000 0.000 0.500
F1 0.000 0.500 0.000

=====

# LaRu PBEsol relaxed
# Formation enthalpy at 0 K: -0.046 eV/atom
# E_tot: -15.6 eV per formula unit
# Magnetization: 0.000 μB/atom
# Crystal system: orthorhombic
data_LaRu
_chemical_formula_sum 'La4 Ru4'
_space_group_name_H-M_alt 'P n m a'
_space_group_IT_number 62
_cell_length_a 8.198
_cell_length_b 4.472
_cell_length_c 5.335
_cell_angle_alpha 90.00
_cell_angle_beta 90.00
_cell_angle_gamma 90.00
loop_
_space_group_symop_operation_xyz
'x,y,z'
'-x,-y,-z'
'-x+1/2,-y,z+1/2'
'x+1/2,y,-z+1/2'
'x+1/2,-y+1/2,-z+1/2'
'-x+1/2,y+1/2,z+1/2'
'-x,y+1/2,-z'
'x,-y+1/2,z'
loop_
_atom_site_label
_atom_site_fract_x
_atom_site_fract_y
_atom_site_fract_z
La1 0.174 0.250 0.066
Ru1 0.024 0.250 0.572

=====

# TaFeP2 PBEsol relaxed
# Polymorph energy (0 for the lowest one): 0.1959 eV per atom
# Formation enthalpy at 0 K: -0.333 eV/atom
# E_tot: -34.4 eV per formula unit
# Magnetization: 0.258 μB/atom
# Crystal system: monoclinic
data_TaFeP2
_chemical_formula_sum 'Ta1 Fe1 P2'
_space_group_name_H-M_alt 'P 1 m 1'
_space_group_IT_number 6
_cell_length_a 2.829
_cell_length_b 4.248
_cell_length_c 4.675
_cell_angle_alpha 90.00
_cell_angle_beta 107.73
_cell_angle_gamma 90.00
loop_
_space_group_symop_operation_xyz
'x,y,z'
'x,-y,z'
loop_
_atom_site_label
_atom_site_fract_x
_atom_site_fract_y
_atom_site_fract_z
Ta1 0.000 0.000 0.000
Fe1 0.662 0.500 0.320
P1 0.396 0.500 0.787
P2 0.729 0.000 0.455